Here is an optimized crystal structure of Cs2LiUBr6 from OQMD via LeMat-Bulk. Energies are from GGA-PBE.

Unit cell a=8.0035 b=8.0035 c=11.3735 alpha=90.00 beta=90.00 gamma=90.00
Last column: nearest neighbours and their distance in Å.
Space group I4/mmm (No. 139)
Unique sites:
Cs1 0.0000 0.5000 0.2500 [4 per cell]  12 Br 4.00-4.01
Li1 0.0000 0.0000 0.0000 [2 per cell]  6 Br 2.76-2.79
U1 0.0000 0.0000 0.5000 [2 per cell]  6 Br 2.90
Br1 0.0000 0.0000 0.2454 [4 per cell]  1 Li 2.79, 1 U 2.90
Br2 0.2441 0.2441 0.0000 [8 per cell]  1 Li 2.76, 1 U 2.90

Output
VASP energy in eV for the cell shown: -80.63
Total magnetic moment in Bohr magnetons per cell: 6.001
Crystal system: tetragonal